First-principles (PBE) data for a relaxed CaScBr2 crystal, as listed in the Alexandria database.

abc: 3.4617 3.4617 9.7138
angles: 90.00 90.00 90.00
With the nearest neighbours (Å) after each atom.
Fractional coordinates of all 4 atoms:
Ca  0.0000  0.0000  0.0000  4 Ca 3.46
Sc  0.0000  0.0000  0.5000  8 Br 2.95
Br  0.5000  0.5000  0.3309  4 Sc 2.95, 1 Br 3.28
Br  0.5000  0.5000  0.6691  4 Sc 2.95, 1 Br 3.28

- calculated volume (Å³ per atom) = 29.1
- density (Mg/m³) = 3.49
- formation energy (no corrections) (eV/atom) = -0.82
- spin magnetization (μB/f.u.) = 0.22

---

First-principles (PBE) data for a relaxed CaScBr crystal, as listed in the Alexandria database.

abc: 3.5038 3.5038 13.2974
angles: 90.00 90.00 90.00
With the nearest neighbours (Å) after each atom.
Fractional coordinates of all 6 atoms:
Ca  0.0000  0.0000  0.0000  4 Br 3.37, 4 Sc 3.49, 4 Ca 3.50
Ca  0.5000  0.5000  0.5000  4 Br 3.37, 4 Sc 3.49, 4 Ca 3.50
Sc  0.0000  0.0000  0.3155  4 Br 3.13, 4 Ca 3.49
Sc  0.5000  0.5000  0.8155  4 Br 3.13, 4 Ca 3.49
Br  0.0000  0.0000  0.6720  4 Sc 3.13, 4 Ca 3.37
Br  0.5000  0.5000  0.1720  4 Sc 3.13, 4 Ca 3.37

- calculated volume (Å³ per atom) = 27.2
- density (Mg/m³) = 3.36
- formation energy (no corrections) (eV/atom) = -0.52
- spin magnetization (μB/f.u.) = 0.00

---

First-principles (PBE) data for a relaxed CaScBr3 crystal, as listed in the Alexandria database.

abc: 5.6181 5.6181 5.6181
angles: 90.00 90.00 90.00
With the nearest neighbours (Å) after each atom.
Fractional coordinates of all 5 atoms:
Ca  0.0000  0.0000  0.0000  6 Br 2.81
Sc  0.5000  0.5000  0.5000  12 Br 3.97
Br  0.0000  0.0000  0.5000  2 Ca 2.81
Br  0.0000  0.5000  0.0000  2 Ca 2.81
Br  0.5000  0.0000  0.0000  2 Ca 2.81

- calculated volume (Å³ per atom) = 35.5
- density (Mg/m³) = 3.04
- formation energy (no corrections) (eV/atom) = -0.96
- spin magnetization (μB/f.u.) = 1.91

---

First-principles (PBE) data for a relaxed CaScBr2 crystal, as listed in the Alexandria database.

abc: 3.7908 4.5633 6.4311
angles: 90.00 93.26 90.00
With the nearest neighbours (Å) after each atom.
Fractional coordinates of all 4 atoms:
Ca  0.0000  0.0000  0.0000  4 Br 3.03
Sc  0.5000  0.0000  0.5000  4 Br 2.84
Br  0.3260  0.5000  0.2530  2 Sc 2.84, 2 Ca 3.03
Br  0.6740  0.5000  0.7470  2 Sc 2.84, 2 Ca 3.03

- calculated volume (Å³ per atom) = 27.8
- density (Mg/m³) = 3.66
- formation energy (no corrections) (eV/atom) = -0.91
- spin magnetization (μB/f.u.) = 0.49

---

First-principles (PBE) data for a relaxed CaScBr crystal, as listed in the Alexandria database.

abc: 3.6342 3.6342 14.3075
angles: 90.00 90.00 120.00
With the nearest neighbours (Å) after each atom.
Fractional coordinates of all 6 atoms:
Ca  0.0000  0.0000  0.0000  6 Sc 3.51, 6 Ca 3.63
Ca  0.3333  0.6667  0.5000  6 Br 3.12
Sc  0.3333  0.6667  0.1964  3 Br 2.92
Sc  0.3333  0.6667  0.8036  3 Br 2.92
Br  0.0000  0.0000  0.3383  3 Sc 2.92, 3 Ca 3.12
Br  0.0000  0.0000  0.6617  3 Sc 2.92, 3 Ca 3.12

- calculated volume (Å³ per atom) = 27.3
- density (Mg/m³) = 3.35
- formation energy (no corrections) (eV/atom) = -0.60
- spin magnetization (μB/f.u.) = 0.89

---

First-principles (PBE) data for a relaxed CaScBr2 crystal, as listed in the Alexandria database.

abc: 3.5727 6.7982 9.2865
angles: 90.00 90.00 90.00
With the nearest neighbours (Å) after each atom.
Fractional coordinates of all 8 atoms:
Ca  0.0000  0.0000  0.0000  4 Br 3.07
Ca  0.5000  0.5000  0.0000  4 Br 3.07
Sc  0.0000  0.0000  0.5000  4 Br 2.80
Sc  0.5000  0.5000  0.5000  4 Br 2.80
Br  0.0000  0.5000  0.2682  2 Sc 2.80, 2 Ca 3.07
Br  0.0000  0.5000  0.7318  2 Sc 2.80, 2 Ca 3.07
Br  0.5000  0.0000  0.2682  2 Sc 2.80, 2 Ca 3.07
Br  0.5000  0.0000  0.7318  2 Sc 2.80, 2 Ca 3.07

- calculated volume (Å³ per atom) = 28.2
- density (Mg/m³) = 3.61
- formation energy (no corrections) (eV/atom) = -0.91
- spin magnetization (μB/f.u.) = 0.00

---

First-principles (PBE) data for a relaxed CaScBr4 crystal, as listed in the Alexandria database.

abc: 7.1063 4.0183 7.4603
angles: 90.00 109.02 90.00
With the nearest neighbours (Å) after each atom.
Fractional coordinates of all 6 atoms:
Ca  0.0000  0.0000  0.0000  6 Br 2.89-2.92
Sc  0.5000  0.5000  0.0000  6 Br 2.77-2.79
Br  0.2619  0.5000  0.2299  1 Sc 2.77, 2 Ca 2.89
Br  0.2675  0.0000  0.7750  2 Sc 2.79, 1 Ca 2.92
Br  0.7325  0.0000  0.2250  2 Sc 2.79, 1 Ca 2.92
Br  0.7381  0.5000  0.7701  1 Sc 2.77, 2 Ca 2.89

- calculated volume (Å³ per atom) = 33.6
- density (Mg/m³) = 3.34
- formation energy (no corrections) (eV/atom) = -1.74
- spin magnetization (μB/f.u.) = 1.02

---

First-principles (PBE) data for a relaxed CaScBr crystal, as listed in the Alexandria database.

abc: 4.9244 4.9244 4.0746
angles: 90.00 90.00 120.00
With the nearest neighbours (Å) after each atom.
Fractional coordinates of all 3 atoms:
Ca  0.0000  0.0000  0.0000  6 Sc 3.50, 6 Br 3.50
Sc  0.6667  0.3333  0.5000  3 Br 2.84
Br  0.3333  0.6667  0.5000  3 Sc 2.84

- calculated volume (Å³ per atom) = 28.5
- density (Mg/m³) = 3.20
- formation energy (no corrections) (eV/atom) = -0.32
- spin magnetization (μB/f.u.) = 0.00

---

First-principles (PBE) data for a relaxed CaScBr2 crystal, as listed in the Alexandria database.

abc: 3.7082 5.5358 5.3207
angles: 90.00 101.89 90.00
With the nearest neighbours (Å) after each atom.
Fractional coordinates of all 4 atoms:
Ca  0.0000  0.0000  0.0000  4 Br 2.91-3.03
Sc  0.5104  0.5000  0.6242  5 Br 2.87-3.06
Br  0.5504  0.0000  0.4770  2 Sc 2.89, 2 Ca 2.91-2.93
Br  0.8698  0.5000  0.1963  3 Sc 2.87-3.06, 2 Ca 3.03

- calculated volume (Å³ per atom) = 26.7
- density (Mg/m³) = 3.80
- formation energy (no corrections) (eV/atom) = -0.91
- spin magnetization (μB/f.u.) = 1.36

---

First-principles (PBE) data for a relaxed CaScBr2 crystal, as listed in the Alexandria database.

abc: 7.7834 7.7834 7.7834
angles: 90.00 90.00 90.00
With the nearest neighbours (Å) after each atom.
Fractional coordinates of all 16 atoms:
Ca  0.0000  0.0000  0.0000  4 Sc 3.37, 4 Br 3.37
Ca  0.0000  0.5000  0.5000  4 Sc 3.37, 4 Br 3.37
Ca  0.5000  0.0000  0.5000  4 Sc 3.37, 4 Br 3.37
Ca  0.5000  0.5000  0.0000  4 Sc 3.37, 4 Br 3.37
Sc  0.2500  0.2500  0.7500  4 Br 3.37, 4 Ca 3.37
Sc  0.2500  0.7500  0.2500  4 Br 3.37, 4 Ca 3.37
Sc  0.7500  0.2500  0.2500  4 Br 3.37, 4 Ca 3.37
Sc  0.7500  0.7500  0.7500  4 Br 3.37, 4 Ca 3.37
Br  0.0000  0.0000  0.5000  4 Br 3.37, 4 Sc 3.37
Br  0.0000  0.5000  0.0000  4 Br 3.37, 4 Sc 3.37
Br  0.2500  0.2500  0.2500  4 Ca 3.37, 4 Br 3.37
Br  0.2500  0.7500  0.7500  4 Br 3.37, 4 Ca 3.37
Br  0.5000  0.0000  0.0000  4 Br 3.37, 4 Sc 3.37
Br  0.5000  0.5000  0.5000  4 Br 3.37, 4 Sc 3.37
Br  0.7500  0.2500  0.7500  4 Br 3.37, 4 Ca 3.37
Br  0.7500  0.7500  0.2500  4 Br 3.37, 4 Ca 3.37

- calculated volume (Å³ per atom) = 29.5
- density (Mg/m³) = 3.45
- formation energy (no corrections) (eV/atom) = -0.29
- spin magnetization (μB/f.u.) = 2.86

---

First-principles (PBE) data for a relaxed CaScSi2Br crystal, as listed in the Alexandria database.

abc: 5.2875 5.2875 4.8223
angles: 90.00 90.00 90.00
With the nearest neighbours (Å) after each atom.
Fractional coordinates of all 5 atoms:
Ca  0.0000  0.0000  0.0000  8 Si 3.58, 4 Sc 3.74
Sc  0.5000  0.5000  0.0000  2 Br 2.41
Si  0.0000  0.5000  0.5000  2 Br 2.64
Si  0.5000  0.0000  0.5000  2 Br 2.64
Br  0.5000  0.5000  0.5000  2 Sc 2.41, 4 Si 2.64

- calculated volume (Å³ per atom) = 27.0
- density (Mg/m³) = 2.72
- formation energy (no corrections) (eV/atom) = 0.47
- spin magnetization (μB/f.u.) = 0.00

---

First-principles (PBE) data for a relaxed CaScTe2Br crystal, as listed in the Alexandria database.

abc: 6.1507 6.1507 4.7349
angles: 90.00 90.00 90.00
With the nearest neighbours (Å) after each atom.
Fractional coordinates of all 5 atoms:
Ca  0.0000  0.0000  0.0000  8 Te 3.88
Sc  0.5000  0.5000  0.0000  2 Br 2.37
Te  0.0000  0.5000  0.5000  2 Br 3.08
Te  0.5000  0.0000  0.5000  2 Br 3.08
Br  0.5000  0.5000  0.5000  2 Sc 2.37

- calculated volume (Å³ per atom) = 35.8
- density (Mg/m³) = 3.89
- formation energy (no corrections) (eV/atom) = -0.16
- spin magnetization (μB/f.u.) = 0.00

---

First-principles (PBE) data for a relaxed Ca2ScTlBr8 crystal, as listed in the Alexandria database.

abc: 6.6147 9.0078 6.9481
angles: 90.00 90.79 90.00
With the nearest neighbours (Å) after each atom.
Fractional coordinates of all 12 atoms:
Ca  0.0000  0.2486  0.0000  6 Br 2.87-3.05
Ca  0.0000  0.7514  0.0000  6 Br 2.87-3.05
Sc  0.5000  0.0000  0.5000  6 Br 2.64-2.79
Tl  0.5000  0.5000  0.5000  6 Br 3.17-3.25
Br  0.2297  0.5000  0.8727  2 Ca 2.87, 1 Tl 3.17
Br  0.2477  0.0000  0.8193  1 Sc 2.79, 2 Ca 3.05
Br  0.2682  0.2061  0.3394  1 Sc 2.64, 1 Ca 2.96
Br  0.2682  0.7939  0.3394  1 Sc 2.64, 1 Ca 2.96
Br  0.7318  0.2061  0.6606  1 Sc 2.64, 1 Ca 2.96
Br  0.7318  0.7939  0.6606  1 Sc 2.64, 1 Ca 2.96
Br  0.7523  0.0000  0.1807  1 Sc 2.79, 2 Ca 3.05
Br  0.7703  0.5000  0.1273  2 Ca 2.87, 1 Tl 3.17

- calculated volume (Å³ per atom) = 34.5
- density (Mg/m³) = 3.89
- formation energy (no corrections) (eV/atom) = -1.68
- spin magnetization (μB/f.u.) = 0.00